(1)
# Y7SBr12

Y7SBr12 after structural relaxation (PBE, the Alexandria database).

Output
Total energy in eV per atom: -5.187
Total magnetic moment in μB per cell: 0.00
E_form (uncorrected) in eV/atom: -1.7147

a = 9.066 Å, b = 9.066 Å, c = 9.066 Å
α = 107.86°, β = 107.86°, γ = 107.86°
Element x y z (fractional)
Y1 0.000 0.000 0.000
Y2 0.186 0.391 0.464
Y3 0.391 0.464 0.186
Y4 0.464 0.186 0.391
Y5 0.536 0.814 0.609
Y6 0.609 0.536 0.814
Y7 0.814 0.609 0.536
S1 0.500 0.500 0.500
Br1 0.028 0.344 0.110
Br2 0.110 0.028 0.344
Br3 0.186 0.724 0.576
Br4 0.276 0.424 0.814
Br5 0.344 0.110 0.028
Br6 0.424 0.814 0.276
Br7 0.576 0.186 0.724
Br8 0.656 0.890 0.972
Br9 0.724 0.576 0.186
Br10 0.814 0.276 0.424
Br11 0.890 0.972 0.656
Br12 0.972 0.656 0.890

***

(2)
# YS2Br2

YS2Br2 after structural relaxation (PBE, the Alexandria database).

Output
Total energy in eV per atom: -4.174
Total magnetic moment in μB per cell: 0.00
E_form (uncorrected) in eV/atom: -0.5607

a = 8.886 Å, b = 8.886 Å, c = 8.886 Å
α = 154.39°, β = 154.39°, γ = 36.54°
Element x y z (fractional)
Y1 0.000 0.000 0.000
S1 0.437 0.437 0.000
S2 0.563 0.563 0.000
Br1 0.250 0.750 0.500
Br2 0.750 0.250 0.500

***

(3)
# Y3SBr

Y3SBr after structural relaxation (PBE, the Alexandria database).

Output
Energy above the most stable polymorph in this dataset in kJ/mol of atoms: 0.0
Total energy in eV per atom: -5.611
Total magnetic moment in μB per cell: 2.61
E_form (uncorrected) in eV/atom: -0.5728

a = 5.272 Å, b = 5.272 Å, c = 5.272 Å
α = 90.00°, β = 90.00°, γ = 90.00°
Element x y z (fractional)
Y1 0.000 0.000 0.500
Y2 0.000 0.500 0.000
Y3 0.500 0.000 0.000
S1 0.000 0.000 0.000
Br1 0.500 0.500 0.500

***

(4)
# YSBr2

YSBr2 after structural relaxation (PBE, the Alexandria database).

Output
Energy above the most stable polymorph in this dataset in kJ/mol of atoms: 58.0
Total energy in eV per atom: -4.122
Total magnetic moment in μB per cell: 1.39
E_form (uncorrected) in eV/atom: -0.6373

a = 10.196 Å, b = 10.196 Å, c = 10.196 Å
α = 21.91°, β = 21.91°, γ = 21.91°
Element x y z (fractional)
Y1 0.000 0.000 0.000
S1 0.500 0.500 0.500
Br1 0.393 0.393 0.393
Br2 0.607 0.607 0.607

***

(5)
# Y3S4Br

Y3S4Br after structural relaxation (PBE, the Alexandria database).

Output
Total energy in eV per atom: -6.692
Total magnetic moment in μB per cell: 0.00
E_form (uncorrected) in eV/atom: -1.9950

a = 7.841 Å, b = 7.841 Å, c = 9.716 Å
α = 108.46°, β = 108.46°, γ = 52.78°
Element x y z (fractional)
Y1 0.006 0.994 0.500
Y2 0.344 0.385 0.278
Y3 0.385 0.344 0.778
Y4 0.581 0.607 0.690
Y5 0.607 0.581 0.190
Y6 0.994 0.006 0.000
S1 0.018 0.337 0.148
S2 0.180 0.789 0.240
S3 0.233 0.576 0.551
S4 0.337 0.018 0.648
S5 0.396 0.716 0.929
S6 0.576 0.233 0.051
S7 0.716 0.396 0.429
S8 0.789 0.180 0.740
Br1 0.633 0.947 0.350
Br2 0.947 0.633 0.850

***

(6)
# YS2Br2

YS2Br2 after structural relaxation (PBE, the Alexandria database).

Output
Total energy in eV per atom: -4.314
Total magnetic moment in μB per cell: 1.98
E_form (uncorrected) in eV/atom: -0.7011

a = 6.962 Å, b = 6.962 Å, c = 5.015 Å
α = 90.00°, β = 90.00°, γ = 90.00°
Element x y z (fractional)
Y1 0.000 0.000 0.000
Y2 0.500 0.500 0.000
S1 0.101 0.399 0.000
S2 0.399 0.899 0.000
S3 0.601 0.101 0.000
S4 0.899 0.601 0.000
Br1 0.212 0.712 0.500
Br2 0.288 0.212 0.500
Br3 0.712 0.788 0.500
Br4 0.788 0.288 0.500

***

(7)
# YSBr2

YSBr2 after structural relaxation (PBE, the Alexandria database).

Output
Energy above the most stable polymorph in this dataset in kJ/mol of atoms: 122.1
Total energy in eV per atom: -3.458
Total magnetic moment in μB per cell: 2.54
E_form (uncorrected) in eV/atom: 0.0268

a = 11.222 Å, b = 11.222 Å, c = 11.222 Å
α = 20.55°, β = 20.55°, γ = 20.55°
Element x y z (fractional)
Y1 0.000 0.000 0.000
S1 0.500 0.500 0.500
Br1 0.079 0.079 0.079
Br2 0.921 0.921 0.921

***

(8)
# YSBr2

YSBr2 after structural relaxation (PBE, the Alexandria database).

Output
Energy above the most stable polymorph in this dataset in kJ/mol of atoms: 0.0
Total energy in eV per atom: -4.723
Total magnetic moment in μB per cell: 2.00
E_form (uncorrected) in eV/atom: -1.2384

a = 7.765 Å, b = 7.765 Å, c = 7.765 Å
α = 96.76°, β = 96.76°, γ = 139.86°
Element x y z (fractional)
Y1 0.000 0.000 0.000
Y2 0.750 0.250 0.500
S1 0.250 0.750 0.500
S2 0.500 0.500 0.000
Br1 0.375 0.027 0.152
Br2 0.777 0.625 0.652
Br3 0.875 0.223 0.848
Br4 0.973 0.125 0.348

***

(9)
# Y4SBr5

Y4SBr5 after structural relaxation (PBE, the Alexandria database).

Output
Total energy in eV per atom: -5.469
Total magnetic moment in μB per cell: 0.00
E_form (uncorrected) in eV/atom: -1.6340

a = 9.198 Å, b = 9.198 Å, c = 8.298 Å
α = 103.52°, β = 103.52°, γ = 24.61°
Element x y z (fractional)
Y1 0.002 0.002 0.286
Y2 0.352 0.352 0.427
Y3 0.648 0.648 0.573
Y4 0.998 0.998 0.714
S1 0.500 0.500 0.500
Br1 0.163 0.163 0.835
Br2 0.174 0.174 0.328
Br3 0.500 0.500 0.000
Br4 0.826 0.826 0.672
Br5 0.837 0.837 0.165

***

(10)
# YSBr3

YSBr3 after structural relaxation (PBE, the Alexandria database).

Output
Energy above the most stable polymorph in this dataset in kJ/mol of atoms: 0.0
Total energy in eV per atom: -4.484
Total magnetic moment in μB per cell: 2.00
E_form (uncorrected) in eV/atom: -1.3618

a = 7.616 Å, b = 7.616 Å, c = 7.748 Å
α = 102.72°, β = 102.72°, γ = 60.31°
Element x y z (fractional)
Y1 0.168 0.168 0.000
Y2 0.832 0.832 0.000
S1 0.445 0.445 0.892
S2 0.555 0.555 0.108
Br1 0.038 0.038 0.238
Br2 0.054 0.539 0.240
Br3 0.461 0.946 0.760
Br4 0.539 0.054 0.240
Br5 0.946 0.461 0.760
Br6 0.962 0.962 0.762

***

(11)
# YSBr2

YSBr2 after structural relaxation (PBE, the Alexandria database).

Output
Energy above the most stable polymorph in this dataset in kJ/mol of atoms: 44.2
Total energy in eV per atom: -4.265
Total magnetic moment in μB per cell: 1.00
E_form (uncorrected) in eV/atom: -0.7803

a = 5.090 Å, b = 5.090 Å, c = 5.090 Å
α = 60.00°, β = 60.00°, γ = 60.00°
Element x y z (fractional)
Y1 0.000 0.000 0.000
S1 0.500 0.500 0.500
Br1 0.250 0.250 0.250
Br2 0.750 0.750 0.750

***

(12)
# YS4Br

YS4Br after structural relaxation (PBE, the Alexandria database).

Output
Total energy in eV per atom: -4.945
Total magnetic moment in μB per cell: 0.00
E_form (uncorrected) in eV/atom: -0.8369

a = 3.812 Å, b = 8.063 Å, c = 14.648 Å
α = 102.36°, β = 90.28°, γ = 91.47°
Element x y z (fractional)
Y1 0.147 0.216 0.425
Y2 0.853 0.784 0.575
S1 0.298 0.297 0.039
S2 0.380 0.890 0.458
S3 0.383 0.521 0.567
S4 0.395 0.885 0.014
S5 0.605 0.115 0.986
S6 0.617 0.479 0.433
S7 0.620 0.110 0.542
S8 0.702 0.703 0.961
Br1 0.348 0.900 0.719
Br2 0.652 0.100 0.281